Crystalline Sm3Pd8Au2 at its relaxed geometry. Source: the Alexandria database, functional GGA-PBE.

DOS(E_F) ... 7.35 states/eV per cell
E ... -5.29 eV/atom

abc: 10.914 10.914 10.914
angles: 28.38 28.38 28.38
Element x y z (fractional)
Sm 0.000 0.000 0.000
Sm 0.189 0.189 0.189
Sm 0.811 0.811 0.811
Pd 0.229 0.734 0.734
Pd 0.266 0.266 0.771
Pd 0.266 0.771 0.266
Pd 0.278 0.278 0.278
Pd 0.722 0.722 0.722
Pd 0.734 0.229 0.734
Pd 0.734 0.734 0.229
Pd 0.771 0.266 0.266
Au 0.361 0.361 0.361
Au 0.639 0.639 0.639